VASP calculation (GGA-PBE) on KNi3S after structural relaxation.

Values from the calculation:
Total energy, eV per atom: -4.36
Uncorrected formation energy, meV per atom: 157

abc: 4.341 4.341 4.341
angles: 90.00 90.00 90.00
Fractional positions:
K 0.000 0.000 0.000
Ni 0.000 0.500 0.500
Ni 0.500 0.000 0.500
Ni 0.500 0.500 0.000
S 0.500 0.500 0.500

***

VASP calculation (GGA-PBE) on Mg2Cd5Ag5 after structural relaxation.

Values from the calculation:
Total energy, eV per atom: -1.92
Energy of formation, eV per atom: -0.089

abc: 6.869 6.869 9.460
angles: 115.69 115.69 36.12
Fractional positions:
Mg 0.084 0.084 0.246
Mg 0.916 0.916 0.754
Cd 0.335 0.335 0.501
Cd 0.408 0.408 0.244
Cd 0.500 0.500 0.000
Cd 0.592 0.592 0.756
Cd 0.665 0.665 0.499
Ag 0.000 0.000 0.500
Ag 0.164 0.164 0.999
Ag 0.253 0.253 0.751
Ag 0.747 0.747 0.249
Ag 0.836 0.836 0.001

***

VASP calculation (GGA-PBE) on TcSbP2 after structural relaxation.

Values from the calculation:
Total energy, eV per atom: -5.77
Uncorrected formation energy, meV per atom: 560

abc: 4.575 4.575 3.215
angles: 90.00 90.00 102.44
Fractional positions:
Tc 0.000 0.000 0.000
Sb 0.500 0.500 0.000
P 0.000 0.500 0.500
P 0.500 0.000 0.500

***

VASP calculation (GGA-PBE) on MgTePb2 after structural relaxation.

Values from the calculation:
Total energy, eV per atom: -3.18
Uncorrected formation energy, meV per atom: -137

abc: 6.665 6.584 4.556
angles: 70.84 68.94 40.22
Fractional positions:
Mg 0.000 0.000 0.000
Te 0.500 0.500 0.500
Pb 0.000 0.500 0.500
Pb 0.500 0.000 0.000

***

VASP calculation (GGA-PBE) on LiTc2Se after structural relaxation.

Values from the calculation:
Total energy, eV per atom: -6.32
Uncorrected formation energy, meV per atom: 210

abc: 4.898 4.898 4.898
angles: 141.66 128.68 65.84
Fractional positions:
Li 0.000 0.000 0.000
Tc 0.257 0.757 0.500
Tc 0.522 0.522 0.000
Se 0.764 0.264 0.500

***

VASP calculation (GGA-PBE) on SrFe2W after structural relaxation.

Values from the calculation:
Total energy, eV per atom: -6.77
Energy of formation, eV per atom: 1.117

abc: 5.887 5.887 5.887
angles: 106.27 106.27 116.08
Fractional positions:
Sr 0.000 0.000 0.000
Sr 0.750 0.250 0.500
Fe 0.192 0.625 0.067
Fe 0.375 0.442 0.567
Fe 0.558 0.125 0.933
Fe 0.875 0.808 0.433
W 0.250 0.750 0.500
W 0.500 0.500 0.000

***

VASP calculation (GGA-PBE) on SmCdPd after structural relaxation.

Values from the calculation:
Total energy, eV per atom: -4.15
Energy of formation, eV per atom: -0.544

abc: 4.733 4.733 3.599
angles: 90.00 90.00 120.00
Fractional positions:
Sm 0.000 0.000 0.000
Cd 0.667 0.333 0.500
Pd 0.333 0.667 0.500

***

VASP calculation (GGA-PBE) on CaCdIn4 after structural relaxation.

Values from the calculation:
Total energy, eV per atom: -2.46
Energy of formation, eV per atom: -0.149

abc: 4.033 4.030 9.987
angles: 90.00 90.17 90.00
Fractional positions:
Ca 0.000 0.000 0.000
Cd 0.500 0.500 0.500
In 0.001 0.000 0.658
In 0.500 0.500 0.194
In 0.500 0.500 0.806
In 0.999 0.000 0.342

***

no.,magnetization (Bohr magnetons per cell)
1,0.84
2,0.00
3,0.00
4,0.00
5,0.00
6,0.00
7,0.00
8,0.00